No. 1
{"formula": "KAlZnTe3", "functional": "PBE-GGA", "state": "optimized geometry", "lattice_angstrom": [[2.0736, -7.7871, 0.0000], [2.0736, 7.7871, 0.0000], [0.0000, 0.0000, 11.3505]], "species": ["Te", "Te", "Te", "Te", "Te", "Te", "K", "K", "Al", "Al", "Zn", "Zn"], "fractional_positions": [[0.3790, 0.6210, 0.4566], [0.6210, 0.3790, 0.5434], [0.9327, 0.0673, 0.7500], [0.3790, 0.6210, 0.0434], [0.0673, 0.9327, 0.2500], [0.6210, 0.3790, 0.9566], [0.7522, 0.2479, 0.2500], [0.2479, 0.7522, 0.7500], [0.0000, 0.0000, 0.5000], [0.0000, 0.0000, 0.0000], [0.5398, 0.4602, 0.7500], [0.4602, 0.5398, 0.2500]], "crystal_system": "orthorhombic", "space_group": "Cmcm", "e_tot_ev_per_atom": -3.159}


No. 2
{"formula": "KThAl", "functional": "PBE-GGA", "state": "optimized geometry", "lattice_angstrom": [[0.0000, 3.7696, 3.7696], [3.7696, 0.0000, 3.7696], [3.7696, 3.7696, 0.0000]], "species": ["Th", "Al", "K"], "fractional_positions": [[0.7500, 0.7500, 0.7500], [0.0000, 0.0000, 0.0000], [0.2500, 0.2500, 0.2500]], "crystal_system": "cubic", "space_group": "F-43m", "e_tot_ev_per_atom": -3.366}


No. 3
{"formula": "KTmAl", "functional": "PBE-GGA", "state": "optimized geometry", "lattice_angstrom": [[0.0000, 3.7318, 3.7318], [3.7318, 0.0000, 3.7318], [3.7318, 3.7318, 0.0000]], "species": ["Tm", "Al", "K"], "fractional_positions": [[0.0000, 0.0000, 0.0000], [0.2500, 0.2500, 0.2500], [0.7500, 0.7500, 0.7500]], "crystal_system": "cubic", "space_group": "F-43m", "e_tot_ev_per_atom": -2.336}


No. 4
{"formula": "KAlZn", "functional": "PBE-GGA", "state": "optimized geometry", "lattice_angstrom": [[0.0000, 3.5519, 3.5519], [3.5519, 0.0000, 3.5519], [3.5519, 3.5519, 0.0000]], "species": ["Zn", "K", "Al"], "fractional_positions": [[0.2500, 0.2500, 0.2500], [0.0000, 0.0000, 0.0000], [0.5000, 0.5000, 0.5000]], "crystal_system": "cubic", "space_group": "F-43m", "e_tot_ev_per_atom": -1.567}


No. 5
{"formula": "KZrAl", "functional": "PBE-GGA", "state": "optimized geometry", "lattice_angstrom": [[0.0000, 3.4965, 3.4965], [3.4965, 0.0000, 3.4965], [3.4965, 3.4965, 0.0000]], "species": ["K", "Al", "Zr"], "fractional_positions": [[0.0000, 0.0000, 0.0000], [0.2500, 0.2500, 0.2500], [0.7500, 0.7500, 0.7500]], "crystal_system": "cubic", "space_group": "F-43m", "e_tot_ev_per_atom": -2.912}


No. 6
{"formula": "KZrAl", "functional": "PBE-GGA", "state": "optimized geometry", "lattice_angstrom": [[5.0565, -0.4710, -0.5014], [2.6277, -2.9109, 3.2655], [2.0076, -4.4213, -1.5694]], "species": ["K", "Al", "Zr"], "fractional_positions": [[0.2500, 0.2500, 0.2500], [0.0000, 0.0000, 0.0000], [0.7500, 0.7500, 0.7500]], "crystal_system": "cubic", "space_group": "F-43m", "e_tot_ev_per_atom": -3.476}


No. 7
{"formula": "LaLuAl", "functional": "PBE-GGA", "state": "optimized geometry", "lattice_angstrom": [[0.0000, 3.6241, 3.6241], [3.6241, 0.0000, 3.6241], [3.6241, 3.6241, 0.0000]], "species": ["La", "Al", "Lu"], "fractional_positions": [[0.2500, 0.2500, 0.2500], [0.0000, 0.0000, 0.0000], [0.7500, 0.7500, 0.7500]], "crystal_system": "cubic", "space_group": "F-43m", "e_tot_ev_per_atom": -4.426}


No. 8
{"formula": "LaLuAl", "functional": "PBE-GGA", "state": "optimized geometry", "lattice_angstrom": [[0.0000, 3.6293, 3.6293], [3.6293, 0.0000, 3.6293], [3.6293, 3.6293, 0.0000]], "species": ["Al", "Lu", "La"], "fractional_positions": [[0.2500, 0.2500, 0.2500], [0.7500, 0.7500, 0.7500], [0.0000, 0.0000, 0.0000]], "crystal_system": "cubic", "space_group": "F-43m", "e_tot_ev_per_atom": -3.902}


No. 9
{"formula": "LaLuAlTe3", "functional": "PBE-GGA", "state": "optimized geometry", "lattice_angstrom": [[2.1131, -7.7448, 0.0000], [2.1131, 7.7448, 0.0000], [0.0000, 0.0000, 10.4887]], "species": ["Lu", "Lu", "Te", "Te", "Te", "Te", "Te", "Te", "Al", "Al", "La", "La"], "fractional_positions": [[0.5000, 0.5000, 0.0000], [0.5000, 0.5000, 0.5000], [0.6166, 0.3834, 0.7500], [0.1452, 0.8548, 0.4605], [0.8548, 0.1452, 0.5395], [0.3834, 0.6166, 0.2500], [0.8548, 0.1452, 0.9605], [0.1452, 0.8548, 0.0395], [0.0215, 0.9785, 0.2500], [0.9785, 0.0215, 0.7500], [0.7188, 0.2812, 0.2500], [0.2812, 0.7188, 0.7500]], "crystal_system": "orthorhombic", "space_group": "Cmcm", "e_tot_ev_per_atom": -4.698}


No. 10
{"formula": "La2MgAl3Ni2", "functional": "PBE-GGA", "state": "optimized geometry", "lattice_angstrom": [[-2.5416, -2.8967, 3.9629], [1.7018, -3.0443, 4.2884], [-0.1189, 5.9799, 4.2618]], "species": ["Al", "Al", "Al", "La", "La", "Ni", "Ni", "Mg"], "fractional_positions": [[0.1641, 0.1641, 0.9409], [0.8355, 0.8355, 0.0533], [0.1611, 0.1611, 0.5569], [0.5577, 0.5577, 0.2473], [0.4471, 0.4471, 0.7585], [0.7144, 0.7144, 0.7587], [0.2773, 0.2773, 0.2380], [0.8428, 0.8428, 0.4464]], "crystal_system": "monoclinic", "space_group": "Cm", "e_tot_ev_per_atom": -4.705}


No. 11
{"formula": "La2Mg3AlNi2", "functional": "PBE-GGA", "state": "optimized geometry", "lattice_angstrom": [[5.0095, -2.1414, 0.0000], [5.0095, 2.1414, 0.0000], [-0.0774, 0.0000, 8.0098]], "species": ["Ni", "Ni", "Al", "Mg", "Mg", "Mg", "La", "La"], "fractional_positions": [[0.2708, 0.2708, 0.2651], [0.7140, 0.7140, 0.7317], [0.1606, 0.1606, 0.5569], [0.8454, 0.8454, 0.4456], [0.1564, 0.1564, 0.9418], [0.8456, 0.8456, 0.0535], [0.4473, 0.4473, 0.7440], [0.5598, 0.5598, 0.2614]], "crystal_system": "monoclinic", "space_group": "Cm", "e_tot_ev_per_atom": -4.012}


No. 12
{"formula": "LaMgAlPd", "functional": "PBE-GGA", "state": "optimized geometry", "lattice_angstrom": [[3.0726, 0.3178, 3.9141], [-1.6765, 1.7737, 4.3480], [-0.5861, -3.0698, 3.8852]], "species": ["Al", "Mg", "Pd", "La"], "fractional_positions": [[0.5000, 0.5000, 0.5000], [0.7500, 0.7500, 0.7500], [0.0000, 0.0000, 0.0000], [0.2500, 0.2500, 0.2500]], "crystal_system": "cubic", "space_group": "F-43m", "e_tot_ev_per_atom": -4.318}


No. 13
{"formula": "La2Mg3AlPd2", "functional": "PBE-GGA", "state": "optimized geometry", "lattice_angstrom": [[5.1629, -2.2040, 0.0000], [5.1629, 2.2040, 0.0000], [-0.0857, 0.0000, 8.0306]], "species": ["Mg", "Mg", "Mg", "Pd", "Pd", "Al", "La", "La"], "fractional_positions": [[0.1538, 0.1538, 0.9435], [0.8496, 0.8496, 0.4448], [0.8471, 0.8471, 0.0520], [0.7180, 0.7180, 0.7359], [0.2744, 0.2744, 0.2608], [0.1543, 0.1543, 0.5562], [0.5613, 0.5613, 0.2605], [0.4415, 0.4415, 0.7463]], "crystal_system": "monoclinic", "space_group": "Cm", "e_tot_ev_per_atom": -4.172}


No. 14
{"formula": "LaMgAlPd", "functional": "PBE-GGA", "state": "optimized geometry", "lattice_angstrom": [[0.0000, 3.4810, 3.4810], [3.4810, 0.0000, 3.4810], [3.4810, 3.4810, 0.0000]], "species": ["Pd", "Mg", "La", "Al"], "fractional_positions": [[0.2500, 0.2500, 0.2500], [0.7500, 0.7500, 0.7500], [0.5000, 0.5000, 0.5000], [0.0000, 0.0000, 0.0000]], "crystal_system": "cubic", "space_group": "F-43m", "e_tot_ev_per_atom": -4.310}


No. 15
{"formula": "LaMgAlPd", "functional": "PBE-GGA", "state": "optimized geometry", "lattice_angstrom": [[0.0000, 3.4736, 3.4736], [3.4736, 0.0000, 3.4736], [3.4736, 3.4736, 0.0000]], "species": ["Mg", "Pd", "Al", "La"], "fractional_positions": [[0.7500, 0.7500, 0.7500], [0.0000, 0.0000, 0.0000], [0.2500, 0.2500, 0.2500], [0.5000, 0.5000, 0.5000]], "crystal_system": "cubic", "space_group": "F-43m", "e_tot_ev_per_atom": -4.234}


No. 16
{"formula": "La2Mg3AlPt2", "functional": "PBE-GGA", "state": "optimized geometry", "lattice_angstrom": [[5.2063, -2.1792, 0.0000], [5.2063, 2.1792, 0.0000], [-0.0704, 0.0000, 8.0473]], "species": ["Mg", "Mg", "Mg", "Pt", "Pt", "La", "La", "Al"], "fractional_positions": [[0.6514, 0.6514, 0.5561], [0.3442, 0.3442, 0.0564], [0.6551, 0.6551, 0.9473], [0.7810, 0.7810, 0.2651], [0.2282, 0.2282, 0.7392], [0.9382, 0.9382, 0.7384], [0.0598, 0.0598, 0.2542], [0.3422, 0.3422, 0.4434]], "crystal_system": "monoclinic", "space_group": "Cm", "e_tot_ev_per_atom": -4.568}


No. 17
{"formula": "LaMgAlPt2", "functional": "PBE-GGA", "state": "optimized geometry", "lattice_angstrom": [[-2.0679, 2.0679, 5.9964], [2.0679, -2.0679, 5.9964], [2.0679, 2.0679, -5.9964]], "species": ["Pt", "Pt", "La", "Al", "Mg"], "fractional_positions": [[0.1337, 0.6337, 0.5000], [0.3663, 0.8663, 0.5000], [0.7500, 0.2500, 0.5000], [0.0000, 0.0000, 0.0000], [0.5000, 0.5000, 0.0000]], "crystal_system": "tetragonal", "space_group": "I-4m2", "e_tot_ev_per_atom": -5.477}


No. 18
{"formula": "LaMgAl4Pt2", "functional": "PBE-GGA", "state": "optimized geometry", "lattice_angstrom": [[5.3339, 0.0000, 0.0000], [0.0000, 2.3622, 8.8307], [0.0000, -2.3622, 8.8307]], "species": ["Pt", "Pt", "Al", "Al", "Al", "Al", "La", "Mg"], "fractional_positions": [[0.5000, 0.3844, 0.3844], [0.5000, 0.5354, 0.5354], [0.2457, 0.8886, 0.8886], [0.2346, 0.2746, 0.2746], [0.7543, 0.8886, 0.8886], [0.7654, 0.2746, 0.2746], [0.5000, 0.6905, 0.6905], [0.5000, 0.0633, 0.0633]], "crystal_system": "orthorhombic", "space_group": "Amm2", "e_tot_ev_per_atom": -4.157}


No. 19
{"formula": "La2TbMg3Al2Tl", "functional": "PBE-GGA", "state": "optimized geometry", "lattice_angstrom": [[-0.8226, 0.2875, -4.6331], [-7.2510, 1.8054, 1.3994], [5.1624, 5.5514, -0.5720]], "species": ["La", "La", "Al", "Al", "Tb", "Mg", "Mg", "Mg", "Tl"], "fractional_positions": [[0.0000, 0.0015, 0.4331], [0.0000, 0.4331, 0.0015], [0.5000, 0.3405, 0.6633], [0.5000, 0.6633, 0.3405], [0.0000, 0.5717, 0.5717], [0.5000, 0.7521, 0.9992], [0.5000, 0.2472, 0.2472], [0.5000, 0.9992, 0.7521], [0.0000, 0.9913, 0.9913]], "crystal_system": "orthorhombic", "space_group": "Amm2", "e_tot_ev_per_atom": -3.552}


No. 20
{"formula": "LaTb2Mg3Al2Tl", "functional": "PBE-GGA", "state": "optimized geometry", "lattice_angstrom": [[-3.5771, -1.8011, 2.3830], [3.1567, -6.8695, -0.4537], [1.5464, 4.6107, 5.8061]], "species": ["Al", "Al", "Tb", "Tb", "Mg", "Mg", "Mg", "La", "Tl"], "fractional_positions": [[0.5000, 0.3306, 0.6730], [0.5000, 0.6730, 0.3306], [0.0000, 0.0020, 0.5699], [0.0000, 0.5699, 0.0020], [0.5000, 0.7522, 0.7522], [0.5000, 0.9996, 0.2473], [0.5000, 0.2473, 0.9996], [0.0000, 0.4345, 0.4345], [0.0000, 0.9911, 0.9911]], "crystal_system": "orthorhombic", "space_group": "Amm2", "e_tot_ev_per_atom": -3.514}